The following is a PBE calculation of a relaxed structure of Ba3Mg2Sn9, from Alexandria via LeMat-Bulk.

Cell and atoms, written as CIF:
```
data_Ba3Mg2Sn9
_chemical_formula_sum 'Ba6 Mg4 Sn18'
_cell_length_a 4.770
_cell_length_b 12.272
_cell_length_c 14.927
_cell_angle_alpha 90.00
_cell_angle_beta 90.00
_cell_angle_gamma 90.00
_symmetry_space_group_name_H-M 'I m m m'
_symmetry_Int_Tables_number 71
_symmetry_space_group_name_Hall '-I 2 2'
loop_
_atom_site_label
_atom_site_type_symbol
_atom_site_fract_x
_atom_site_fract_y
_atom_site_fract_z
_atom_site_occupancy
Ba1 Ba 0.000 0.000 0.000 1
Ba2 Ba 0.000 0.000 0.307 1
Mg1 Mg 0.000 0.197 0.500 1
Sn1 Sn 0.000 0.289 0.139 1
Sn2 Sn 0.000 0.364 0.347 1
Sn3 Sn 0.000 0.500 0.000 1
```

Formation energy from the elements, eV/atom: -0.369
Total magnetization, μB per cell: 0.0